A relaxed structure of HfGeP2, computed with PBE.

## Properties
ΔH_f (0 K)	-0.062	eV per atom
E above lowest polymorph	354	meV per atom

```
HfGeP2
1.0
0.000 3.257 3.257
3.257 0.000 3.257
3.257 3.257 0.000
P Ge Hf
2 1 1
Direct
0.250 0.250 0.250
0.750 0.750 0.750
0.000 0.000 0.000
0.500 0.500 0.500
```